Record 1
ZnTcW2 | PBE | relaxed

Lattice parameters (Å, degrees): 3.2515 3.2515 5.7679 90.00 90.00 90.00
With the nearest neighbours (Å) after each atom.
Fractional positions:
Tc1 0.5000 0.5000 0.7428  4 Zn 2.68, 6 W 2.73-2.96
W1 0.0000 0.0000 0.9975  4 Tc 2.73, 4 W 2.74, 2 Zn 2.85-2.92
W2 0.5000 0.5000 0.2561  4 Zn 2.71, 4 W 2.74, 2 Tc 2.81-2.96
Zn1 0.0000 0.0000 0.5037  4 Tc 2.68, 6 W 2.71-2.92

## Properties
VASP energy	-36.7	eV per cell
total magnetic moment	0.00	Bohr magnetons per cell
N(E_F)	3.70	states/eV/f.u.
ΔE_f	0.203	eV/atom

***

Record 2
ZnTc2W | PBE | relaxed

Lattice parameters (Å, degrees): 5.0859 5.0859 5.0859 144.17 128.08 64.70
With the nearest neighbours (Å) after each atom.
Fractional positions:
Tc1 0.9903 0.9903 0.0000  2 W 2.59, 2 Zn 2.73, 4 Tc 2.73
Tc2 0.5097 0.5097 0.0000  2 W 2.59, 2 Zn 2.73, 4 Tc 2.73
W1 0.7500 0.2500 0.5000  4 Tc 2.59, 4 Zn 2.72
Zn1 0.2500 0.7500 0.5000  4 W 2.72, 8 Tc 2.73-3.04

## Properties
VASP energy	-34.3	eV per cell
total magnetic moment	0.00	Bohr magnetons per cell
N(E_F)	2.93	states/eV/f.u.
ΔE_f	0.163	eV/atom

***

Record 3
Zn2TcW | PBE | relaxed

Lattice parameters (Å, degrees): 6.9728 6.9728 5.5712 51.26 51.26 90.00
With the nearest neighbours (Å) after each atom.
Fractional positions:
Zn1 0.6198 0.1250 0.2500  2 Tc 2.52, 2 W 2.57, 2 Zn 2.59
Zn2 0.1302 0.6250 0.2500  2 Tc 2.52, 2 W 2.57, 2 Zn 2.59
Zn3 0.3750 0.3802 0.7500  2 Tc 2.52, 2 W 2.57, 2 Zn 2.59
Zn4 0.8750 0.8698 0.7500  2 Tc 2.52, 2 W 2.57, 2 Zn 2.59
Tc1 0.5000 0.5000 0.0000  4 Zn 2.52, 2 W 2.59
Tc2 0.2500 0.7500 0.5000  4 Zn 2.52, 2 W 2.59
W1 0.0000 0.0000 0.0000  4 Zn 2.57, 2 Tc 2.59
W2 0.7500 0.2500 0.5000  4 Zn 2.57, 2 Tc 2.59

## Properties
VASP energy	-45.5	eV per cell
total magnetic moment	0.00	Bohr magnetons per cell
energy relative to the lowest polymorph listed for this composition	682	meV per atom
N(E_F)	4.11	states/eV/f.u.
ΔE_f	0.778	eV/atom

***

Record 4
Zn2TcW | PBE | relaxed

Lattice parameters (Å, degrees): 4.6573 4.6573 4.6573 129.58 129.58 74.08
With the nearest neighbours (Å) after each atom.
Fractional positions:
Tc1 0.5000 0.5000 0.0000  4 W 2.72, 8 Zn 2.72-2.81
W1 0.7500 0.2500 0.5000  4 Tc 2.72, 8 Zn 2.72-2.81
Zn1 0.0000 0.0000 0.0000  4 W 2.72, 4 Zn 2.72, 4 Tc 2.81
Zn2 0.2500 0.7500 0.5000  4 Tc 2.72, 4 Zn 2.72, 4 W 2.81

## Properties
VASP energy	-25.1	eV per cell
total magnetic moment	0.00	Bohr magnetons per cell
energy relative to the lowest polymorph listed for this composition	83	meV per atom
N(E_F)	2.45	states/eV/f.u.
ΔE_f	0.180	eV/atom

***

Record 5
Zn2TcW | PBE | relaxed

Lattice parameters (Å, degrees): 2.7162 2.7162 8.8458 90.00 90.00 111.43
With the nearest neighbours (Å) after each atom.
Fractional positions:
Tc1 0.0000 0.0000 0.5011  2 W 2.65, 2 Zn 2.69, 4 Tc 2.72
W1 0.5000 0.5000 0.7453  2 Tc 2.65, 4 W 2.72, 2 Zn 2.74
Zn1 0.0000 0.0000 0.0027  6 Zn 2.68-2.72, 2 W 2.74
Zn2 0.5000 0.5000 0.2508  6 Zn 2.68-2.72, 2 Tc 2.69

## Properties
VASP energy	-25.3	eV per cell
total magnetic moment	0.00	Bohr magnetons per cell
energy relative to the lowest polymorph listed for this composition	47	meV per atom
N(E_F)	2.61	states/eV/f.u.
ΔE_f	0.144	eV/atom

***

Record 6
ZnTcW2 | PBE | relaxed

Lattice parameters (Å, degrees): 2.7891 2.7891 7.9298 90.00 90.00 90.00
With the nearest neighbours (Å) after each atom.
Fractional positions:
Tc1 0.5000 0.5000 0.7489  4 W 2.73, 4 Zn 2.75, 4 Tc 2.79
W1 0.0000 0.0000 0.9864  4 Tc 2.73, 8 W 2.79-2.91
W2 0.5000 0.5000 0.2568  8 W 2.79-2.91, 4 Zn 2.80
Zn1 0.0000 0.0000 0.5079  4 Tc 2.75, 4 Zn 2.79, 4 W 2.80

## Properties
VASP energy	-36.3	eV per cell
total magnetic moment	0.00	Bohr magnetons per cell
N(E_F)	4.65	states/eV/f.u.
ΔE_f	0.303	eV/atom